No. 1
AlAs3Au, optimized geometry, DFT PBE; polymorph energy (0 for the lowest one) = 0.2435 eV/atom; formation energy = 0.918 eV/atom; space group = Pm-3m; spin magnetization = 0.0000 μB/atom; calculated total energy = -3.276 eV per atom
1.0
5.057 0.000 0.000
0.000 5.057 0.000
0.000 0.000 5.057
Al As Au
1 3 1
Direct
0.000 0.000 0.000
0.000 0.500 0.500
0.500 0.000 0.500
0.500 0.500 0.000
0.500 0.500 0.500

---

No. 2
CsMgBr2, optimized geometry, DFT PBE; polymorph energy (0 for the lowest one) = 0.0000 eV/atom; formation energy from raw total energies = -4.48 eV per formula unit; space group = I-42d; spin magnetization = 0.0000 μB/atom; calculated total energy = -2.567 eV per atom
1.0
7.241 0.000 0.000
0.000 7.241 0.000
0.000 0.000 15.091
Cs Mg Br
4 4 8
Direct
0.000 0.000 0.000
0.000 0.500 0.250
0.500 0.000 0.750
0.500 0.500 0.500
0.000 0.000 0.500
0.000 0.500 0.750
0.500 0.000 0.250
0.500 0.500 0.000
0.146 0.250 0.625
0.250 0.646 0.875
0.250 0.854 0.375
0.354 0.250 0.125
0.646 0.750 0.125
0.750 0.146 0.375
0.750 0.354 0.875
0.854 0.750 0.625

---

No. 3
Cs3Ce2TiSe6, optimized geometry, DFT PBE; formation energy from raw total energies = -17.49 eV per formula unit; space group = C2/m; spin magnetization = 0.2502 μB/atom; calculated total energy = -5.060 eV per atom
1.0
3.680 -6.373 0.000
3.680 6.373 0.000
-2.463 0.000 8.360
Cs Ce Ti Se
3 2 1 6
Direct
0.000 0.000 0.000
0.330 0.670 0.000
0.670 0.330 0.000
0.166 0.834 0.500
0.834 0.166 0.500
0.500 0.500 0.500
0.128 0.439 0.318
0.250 0.250 0.684
0.439 0.128 0.318
0.561 0.872 0.682
0.750 0.750 0.316
0.872 0.561 0.682